(1)
VASP calculation (GGA-PBE) on crystalline ScCr2Cd at its relaxed geometry.

Cell lengths 5.2825, 5.3245, 2.7122 Å; angles 80.24, 80.11, 116.89 degrees
With the nearest neighbours (Å) after each atom.
Fractional positions:
1 Cd 0.5000 0.5000 0.0000  2 Cd 2.71, 2 Sc 2.75, 4 Cr 2.78
2 Cr 0.0000 0.0000 0.0000  4 Cr 2.71-2.75, 2 Sc 2.78, 2 Cd 2.78
3 Cr 0.5000 0.0000 0.5000  4 Cr 2.71-2.75, 2 Cd 2.78, 2 Sc 2.78
4 Sc 0.0000 0.5000 0.5000  2 Sc 2.71, 2 Cd 2.75, 4 Cr 2.78

Output
The value obtained for the density of states at the Fermi level is 5.4 states/eV/f.u. Its space group is C2/m (12). The calculation puts the formation energy at 0.59 eV per atom. The calculation puts the total energy at -6.030 eV/atom. The mass density comes out at 6.75 g/cm³.


(2)
VASP calculation (GGA-PBE) on crystalline ScCr2Cd at its relaxed geometry.

Cell lengths 4.6520, 4.6520, 4.6520 Å; angles 60.00, 60.00, 60.00 degrees
With the nearest neighbours (Å) after each atom.
Fractional positions:
1 Cd 0.5000 0.5000 0.5000  4 Sc 2.85, 4 Cr 2.85
2 Cr 0.0000 0.0000 0.0000  4 Cr 2.85, 4 Sc 2.85
3 Cr 0.2500 0.2500 0.2500  4 Cd 2.85, 4 Cr 2.85
4 Sc 0.7500 0.7500 0.7500  4 Cd 2.85, 4 Cr 2.85

Output
The value obtained for the density of states at the Fermi level is 2.6 states/eV/f.u. Its space group is F-43m (216). The calculation puts the formation energy at 0.21 eV per atom. The calculation puts the total energy at -6.416 eV/atom. The mass density comes out at 6.10 g/cm³.